No. 1
DFT (PBE) results for a geometry-optimized TbPm6Sc structure.

Values from the calculation:
Crystal system   tetragonal
Symmetry   P4/mmm (123)

Cell and atoms, written as extended XYZ:
```
8
Lattice="5.0782 0.0000 0.0000 0.0000 5.0782 0.0000 0.0000 0.0000 10.1496" Properties=species:S:1:pos:R:3 pbc="T T T"
Tb 0.0000 0.0000 0.0000
Pm 0.0000 2.5391 2.5892
Pm 0.0000 2.5391 7.5605
Pm 2.5391 0.0000 2.5892
Pm 2.5391 0.0000 7.5605
Pm 2.5391 2.5391 0.0000
Pm 2.5391 2.5391 5.0748
Sc 0.0000 0.0000 5.0748
```


No. 2
DFT (PBE) results for a geometry-optimized Ce4CdIn structure.

Values from the calculation:
Crystal system   orthorhombic
Symmetry   Immm (71)

Cell and atoms, written as extended XYZ:
```
6
Lattice="-2.5859 3.0334 4.7294 2.5859 -3.0334 4.7294 2.5859 3.0334 -4.7294" Properties=species:S:1:pos:R:3 pbc="T T T"
Ce 2.5859 -1.5499 3.0536
Ce 0.0000 1.4835 1.6758
Ce 2.5859 1.5499 3.0536
Ce 0.0000 4.5834 1.6758
Cd 2.5859 0.0000 0.0000
In 0.0000 0.0000 4.7294
```


No. 3
DFT (PBE) results for a geometry-optimized ZrCd2Re structure.

Values from the calculation:
Crystal system   cubic
Symmetry   Fm-3m (225)

Cell and atoms, written as extended XYZ:
```
4
Lattice="0.0000 3.3648 3.3648 3.3648 0.0000 3.3648 3.3648 3.3648 0.0000" Properties=species:S:1:pos:R:3 pbc="T T T"
Zr 0.0000 0.0000 0.0000
Cd 1.6824 1.6824 1.6824
Cd 5.0471 5.0471 5.0471
Re 3.3648 3.3648 3.3648
```


No. 4
DFT (PBE) results for a geometry-optimized Li2PrScHg4 structure.

Values from the calculation:
Crystal system   trigonal
Symmetry   R-3m (166)

Cell and atoms, written as extended XYZ:
```
8
Lattice="2.4718 1.4271 8.4302 -2.4718 1.4271 8.4302 0.0000 -2.8541 8.4302" Properties=species:S:1:pos:R:3 pbc="T T T"
Li 0.0000 0.0000 6.1811
Li 0.0000 0.0000 19.1094
Pr 0.0000 0.0000 0.0000
Sc 0.0000 0.0000 12.6453
Hg 0.0000 0.0000 3.2674
Hg 0.0000 0.0000 9.7358
Hg 0.0000 0.0000 15.5547
Hg 0.0000 0.0000 22.0231
```


Number 1: final energy -4.904 eV per atom. Number 2: final energy -4.725 eV per atom. Number 3: final energy -5.239 eV per atom. Number 4: final energy -2.431 eV per atom.